Version i
Compound: Tb2NdAl
Source: Alexandria via LeMat-Bulk
Functional: GGA-PBE
Structure: optimized geometry

The structure in POSCAR format:
```
Tb2NdAl
1.0
5.325 0.000 0.000
0.000 6.966 0.000
0.000 0.000 12.055
Tb Nd Al
8 4 4
Cartesian
0.000 0.000 0.000
0.000 1.645 9.225
0.000 1.838 3.198
0.000 3.483 6.027
0.000 5.128 3.198
0.000 5.322 9.225
2.662 0.000 4.247
2.662 3.483 10.275
2.662 1.633 7.079
2.662 1.851 1.051
2.662 5.116 1.051
2.662 5.334 7.079
0.000 0.000 6.088
0.000 3.483 0.060
2.662 0.000 10.164
2.662 3.483 4.136
```

Output
V (Å³ per atom): 27.9
Magnetic moment (μB/atom): 0.000



Version ii
Compound: Tb2NdAl
Source: Alexandria via LeMat-Bulk
Functional: GGA-PBE
Structure: optimized geometry

The structure in POSCAR format:
```
Tb2NdAl
1.0
4.830 0.000 0.000
0.000 4.830 0.000
0.000 0.000 4.802
Tb Nd Al
2 1 1
Cartesian
0.000 2.415 0.000
2.415 0.000 0.000
0.000 0.000 2.401
2.415 2.415 2.401
```

Output
V (Å³ per atom): 28.0
Magnetic moment (μB/atom): 0.000



Short version: version i is the most stable of them.



Version i
Compound: Tb2NdAl
Source: Alexandria via LeMat-Bulk
Functional: GGA-PBE
Structure: optimized geometry

The structure in POSCAR format:
```
Tb2NdAl
1.0
3.547 0.000 0.000
0.000 3.547 0.000
0.000 0.000 9.152
Tb Nd Al
2 1 1
Cartesian
0.000 0.000 1.918
0.000 0.000 7.234
1.773 1.773 4.576
1.773 1.773 0.000
```

Output
V (Å³ per atom): 28.8
Magnetic moment (μB/atom): 0.000



Version ii
Compound: Tb2NdAl
Source: Alexandria via LeMat-Bulk
Functional: GGA-PBE
Structure: optimized geometry

The structure in POSCAR format:
```
Tb2NdAl
1.0
3.618 0.000 0.000
-1.809 3.133 0.000
0.000 0.000 31.677
Tb Nd Al
6 3 3
Cartesian
0.000 0.000 0.000
0.000 0.000 6.047
0.000 2.089 21.118
0.000 2.089 27.164
1.809 1.044 10.559
1.809 1.044 16.606
0.000 0.000 13.585
0.000 2.089 3.026
1.809 1.044 24.143
0.000 0.000 18.849
0.000 2.089 8.290
1.809 1.044 29.408
```

Output
V (Å³ per atom): 29.9
Magnetic moment (μB/atom): 0.000



Version iii
Compound: Tb2NdAl
Source: Alexandria via LeMat-Bulk
Functional: GGA-PBE
Structure: optimized geometry

The structure in POSCAR format:
```
Tb2NdAl
1.0
7.659 0.000 0.000
0.000 7.659 0.000
0.000 0.000 7.659
Tb Nd Al
8 4 4
Cartesian
1.915 1.915 1.915
1.915 1.915 5.744
1.915 5.744 1.915
1.915 5.744 5.744
5.744 1.915 1.915
5.744 1.915 5.744
5.744 5.744 1.915
5.744 5.744 5.744
0.000 0.000 0.000
0.000 3.830 3.830
3.830 0.000 3.830
3.830 3.830 0.000
0.000 0.000 3.830
0.000 3.830 0.000
3.830 0.000 0.000
3.830 3.830 3.830
```

Output
V (Å³ per atom): 28.1
Magnetic moment (μB/atom): 0.303



Version iv
Compound: Tb2NdAl
Source: Alexandria via LeMat-Bulk
Functional: GGA-PBE
Structure: optimized geometry

The structure in POSCAR format:
```
Tb2NdAl
1.0
3.493 0.000 0.000
-1.747 3.025 0.000
0.000 0.000 34.668
Tb Nd Al
6 3 3
Cartesian
0.000 0.000 3.514
0.000 0.000 31.154
0.000 2.017 19.598
0.000 2.017 26.626
1.747 1.008 8.042
1.747 1.008 15.070
0.000 0.000 0.000
0.000 2.017 23.112
1.747 1.008 11.556
0.000 0.000 17.334
0.000 2.017 5.778
1.747 1.008 28.890
```

Output
V (Å³ per atom): 30.5
Magnetic moment (μB/atom): 0.001



Short version: version i is the most stable of them.



Version i
Compound: TbNdAlZn
Source: Alexandria via LeMat-Bulk
Functional: GGA-PBE
Structure: optimized geometry

The structure in POSCAR format:
```
TbNdAlZn
1.0
3.629 0.000 0.000
0.000 3.629 0.000
0.000 0.000 7.438
Tb Nd Al Zn
1 1 1 1
Cartesian
0.000 0.000 0.000
0.000 0.000 3.656
1.815 1.815 5.622
1.815 1.815 1.692
```

Output
V (Å³ per atom): 24.5
Magnetic moment (μB/atom): 0.000



Version ii
Compound: TbNdAlZn
Source: Alexandria via LeMat-Bulk
Functional: GGA-PBE
Structure: optimized geometry

The structure in POSCAR format:
```
TbNdAlZn
1.0
7.331 0.000 0.000
0.000 7.331 0.000
0.000 0.000 7.331
Tb Nd Al Zn
4 4 4 4
Cartesian
0.000 0.000 0.000
0.000 3.665 3.665
3.665 0.000 3.665
3.665 3.665 0.000
0.000 0.000 3.665
0.000 3.665 0.000
3.665 0.000 0.000
3.665 3.665 3.665
1.833 1.833 5.498
1.833 5.498 1.833
5.498 1.833 1.833
5.498 5.498 5.498
1.833 1.833 1.833
1.833 5.498 5.498
5.498 1.833 5.498
5.498 5.498 1.833
```

Output
V (Å³ per atom): 24.6
Magnetic moment (μB/atom): 0.000



Short version: version i is the most stable of them.



Version i
Compound: NdAl2Tc
Source: Alexandria via LeMat-Bulk
Functional: GGA-PBE
Structure: optimized geometry

The structure in POSCAR format:
```
NdAl2Tc
1.0
4.294 0.000 0.000
-2.147 3.719 0.000
0.000 0.000 15.935
Nd Al Tc
3 6 3
Cartesian
0.000 0.000 0.000
0.000 2.479 10.623
2.147 1.240 5.311
0.000 0.000 3.291
0.000 0.000 12.644
0.000 2.479 7.332
0.000 2.479 13.914
2.147 1.240 2.021
2.147 1.240 8.602
0.000 0.000 7.967
0.000 2.479 2.656
2.147 1.240 13.279
```

Output
V (Å³ per atom): 21.2
Magnetic moment (μB/atom): 0.000



Version ii
Compound: NdAl2Tc
Source: Alexandria via LeMat-Bulk
Functional: GGA-PBE
Structure: optimized geometry

The structure in POSCAR format:
```
NdAl2Tc
1.0
3.224 0.000 0.000
0.000 3.224 0.000
0.000 0.000 7.366
Nd Al Tc
1 2 1
Cartesian
0.000 0.000 0.000
1.612 1.612 2.355
1.612 1.612 5.010
0.000 0.000 3.683
```

Output
V (Å³ per atom): 19.1
Magnetic moment (μB/atom): 0.000



Short version: version ii is the most stable of them.